Material: Rb3CdF7
Method: DFT, PBE
State: relaxed

Properties
Uncorrected formation energy ... -2084 meV per atom
Spin magnetization ... 2.08 μB per cell
Space-group type ... Cm

Unit cell a=6.747 b=6.747 c=6.813 alpha=115.79 beta=115.79 gamma=93.58
Sites, in units of the cell vectors:
Rb: 0.000 0.000 0.000
Rb: 0.270 0.720 0.439
Rb: 0.720 0.270 0.439
Cd: 0.428 0.428 0.864
F: 0.137 0.137 0.496
F: 0.146 0.638 0.759
F: 0.344 0.344 0.096
F: 0.406 0.811 0.128
F: 0.607 0.607 0.762
F: 0.638 0.146 0.759
F: 0.811 0.406 0.128


Material: Na2La2PtO6
Method: DFT, PBE
State: relaxed

Properties
Uncorrected formation energy ... -2182 meV per atom
Spin magnetization ... 0.00 μB per cell
Space-group type ... C2

Unit cell a=6.710 b=6.710 c=6.759 alpha=91.10 beta=91.10 gamma=89.35
Sites, in units of the cell vectors:
Na: 0.000 0.000 0.000
Na: 0.005 0.346 0.646
Na: 0.511 0.489 0.500
Na: 0.654 0.995 0.354
La: 0.136 0.864 0.500
La: 0.366 0.634 0.000
La: 0.517 0.131 0.846
La: 0.869 0.483 0.154
Pt: 0.266 0.243 0.254
Pt: 0.757 0.734 0.746
O: 0.051 0.689 0.825
O: 0.192 0.302 0.966
O: 0.209 0.545 0.315
O: 0.311 0.949 0.175
O: 0.336 0.184 0.549
O: 0.455 0.791 0.685
O: 0.554 0.325 0.187
O: 0.675 0.446 0.813
O: 0.698 0.808 0.034
O: 0.816 0.664 0.451
O: 0.832 0.021 0.691
O: 0.979 0.168 0.309